<w>
DyHo3Er6 GGA-PBE optimized geometry; mass density = 8.86 g/cm3; space group = Cmc2_1 (36)
1.0
-2.5309 -4.9715 2.5004
9.5765 -5.0465 -0.3406
-2.7120 5.7803 8.7479
Er Ho Dy
12 6 2
direct
0.8618 0.4597 0.0391
0.5323 0.2887 0.3825
0.4198 0.9519 0.0481
0.5323 0.6175 0.7113
0.3618 0.5403 0.9609
0.6420 0.2842 0.7158
0.0323 0.3825 0.2887
0.9198 0.0481 0.9519
0.0323 0.7113 0.6175
0.8618 0.9609 0.5403
0.3618 0.0391 0.4597
0.1420 0.7158 0.2842
0.9565 0.0624 0.2800
0.9565 0.7200 0.9376
0.4565 0.2800 0.0624
0.5706 0.6094 0.3906
0.0706 0.3906 0.6094
0.4565 0.9376 0.7200
0.1517 0.2081 0.7919
0.6517 0.7919 0.2081

=====

<x>
DyHo3Er6 GGA-PBE optimized geometry; mass density = 8.91 g/cm3; space group = Cmc2_1 (36)
1.0
6.2873 0.0000 0.0000
0.0000 9.9059 -5.6202
0.0000 -2.1891 11.1768
Ho Er Dy
6 12 2
direct
0.6285 0.8952 0.4573
0.0871 0.6984 0.3016
0.1285 0.1048 0.5427
0.6285 0.5427 0.1048
0.1285 0.4573 0.8952
0.5871 0.3016 0.6984
0.7893 0.0428 0.2954
0.6193 0.0150 0.9850
0.8678 0.7421 0.6220
0.8935 0.4200 0.5800
0.3678 0.6220 0.7421
0.3935 0.5800 0.4200
0.8678 0.3780 0.2579
0.7893 0.7046 0.9572
0.2893 0.9572 0.7046
0.2893 0.2954 0.0428
0.1193 0.9850 0.0150
0.3678 0.2579 0.3780
0.3142 0.8386 0.1614
0.8142 0.1614 0.8386

=====

Which of them is the least stable? Correct choice: <w>.

=====

<w>
DyHo2Er4 GGA-PBE optimized geometry; mass density = 8.95 g/cm3; space group = P2_1/m (11)
1.0
-3.0900 -0.3497 5.0652
-4.2409 -4.0673 -2.8680
7.7843 -8.4796 0.5147
Dy Er Ho
2 8 4
direct
0.8336 0.2500 0.8603
0.1664 0.7500 0.1397
0.3656 0.9947 0.7097
0.3656 0.5053 0.7097
0.1479 0.7500 0.4235
0.6344 0.0053 0.2903
0.9868 0.7500 0.8395
0.0132 0.2500 0.1605
0.8521 0.2500 0.5765
0.6344 0.4947 0.2903
0.3953 0.2500 0.9934
0.6047 0.7500 0.0066
0.7165 0.7500 0.5551
0.2835 0.2500 0.4449

=====

<x>
DyHo2Er4 GGA-PBE optimized geometry; mass density = 9.01 g/cm3; space group = Cm (8)
1.0
3.5386 0.0000 0.0000
-1.7693 3.0629 -0.1027
-0.0002 0.6623 19.7367
Er Ho Dy
4 2 1
direct
0.3810 0.7620 0.5235
0.0484 0.0968 0.9531
0.3818 0.7635 0.8099
0.0473 0.0945 0.2382
0.7137 0.4274 0.3809
0.7145 0.4289 0.0964
0.7148 0.4297 0.6660

=====

Which of them is the least stable? Correct choice: <w>.

=====

<w>
Dy3Ho2Er6 GGA-PBE optimized geometry; mass density = 9.00 g/cm3; space group = R-3m (166)
1.0
3.5064 0.0000 0.2151
1.7466 3.0405 0.2151
-0.1732 -0.1002 31.5093
Er Dy Ho
6 3 2
direct
0.1817 0.1817 0.4548
0.6363 0.6363 0.0911
0.3637 0.3637 0.9089
0.0911 0.0911 0.7266
0.8183 0.8183 0.5452
0.9089 0.9089 0.2734
0.7274 0.7274 0.8177
0.2726 0.2726 0.1823
0.0000 0.0000 0.0000
0.4547 0.4547 0.6359
0.5453 0.5453 0.3641

=====

<x>
Dy3Ho2Er6 GGA-PBE optimized geometry; mass density = 8.44 g/cm3; space group = I4/mmm (139)
1.0
-0.8087 -3.6313 2.8227
3.8458 -2.1058 -1.6073
7.3530 10.0647 11.1917
Er Dy Ho
6 3 2
direct
0.6213 0.1213 0.2427
0.6956 0.6956 0.3912
0.8787 0.3787 0.7573
0.3044 0.3044 0.6088
0.1213 0.6213 0.2427
0.3787 0.8787 0.7573
0.0000 0.0000 0.0000
0.7992 0.7992 0.5984
0.2008 0.2008 0.4016
0.5461 0.5461 0.0923
0.4539 0.4539 0.9077

=====

Which of them is the least stable? Correct choice: <x>.